The following is a DFT calculation (PBE-GGA) of AcZnGa2Pd after structural relaxation.

Lattice parameters (Å, degrees): 4.524 4.524 10.295 90.00 90.00 90.00
Space group I-4m2 (No. 119)
Asymmetric unit:
1 Ac 0.000 0.000 0.000 [2 per cell]
2 Zn 0.000 0.500 0.750 [2 per cell]
3 Ga 0.000 0.000 0.374 [4 per cell]
4 Pd 0.000 0.500 0.250 [2 per cell]

Output
* calculated formation energy: -0.6132 eV per atom
* calculated total energy: -3.939 eV/atom

=====

The following is a DFT calculation (PBE-GGA) of ReTcMo3 after structural relaxation.

Lattice parameters (Å, degrees): 4.593 4.593 4.593 90.00 90.00 90.00
Space group Pm-3m (No. 221)
Asymmetric unit:
1 Re 0.000 0.000 0.000 [1 per cell]
2 Tc 0.500 0.500 0.500 [1 per cell]
3 Mo 0.000 0.500 0.500 [3 per cell]

Output
* calculated formation energy: 1.9328 eV per atom
* calculated total energy: -9.129 eV/atom
* polymorph energy (0 for the lowest one): 1861 meV/atom

=====

The following is a DFT calculation (PBE-GGA) of Pr12DySn3 after structural relaxation.

Lattice parameters (Å, degrees): 5.017 5.017 20.407 90.00 90.00 90.00
Space group P4/mmm (No. 123)
Asymmetric unit:
1 Pr 0.000 0.000 0.000 [1 per cell]
2 Pr 0.000 0.000 0.243 [2 per cell]
3 Pr 0.000 0.000 0.500 [1 per cell]
4 Pr 0.000 0.500 0.122 [4 per cell]
5 Pr 0.000 0.500 0.367 [4 per cell]
6 Dy 0.500 0.500 0.500 [1 per cell]
7 Sn 0.500 0.500 0.000 [1 per cell]
8 Sn 0.500 0.500 0.244 [2 per cell]

Output
* calculated formation energy: -0.3228 eV per atom
* calculated total energy: -4.946 eV/atom

=====

The following is a DFT calculation (PBE-GGA) of CaIn2Hg5 after structural relaxation.

Lattice parameters (Å, degrees): 4.876 4.876 17.424 90.00 90.00 90.00
Space group I4/mmm (No. 139)
Asymmetric unit:
1 Ca 0.000 0.000 0.000 [2 per cell]
2 In 0.000 0.000 0.244 [4 per cell]
3 Hg 0.000 0.000 0.500 [2 per cell]
4 Hg 0.000 0.500 0.126 [8 per cell]

Output
* calculated formation energy: -0.2017 eV per atom
* calculated total energy: -1.325 eV/atom
* polymorph energy (0 for the lowest one): 0 meV/atom

=====

The following is a DFT calculation (PBE-GGA) of PmErIrPb after structural relaxation.

Lattice parameters (Å, degrees): 7.328 7.328 7.328 90.00 90.00 90.00
Space group F-43m (No. 216)
Asymmetric unit:
1 Pm 0.000 0.000 0.000 [4 per cell]
2 Er 0.000 0.000 0.500 [4 per cell]
3 Ir 0.250 0.250 0.250 [4 per cell]
4 Pb 0.250 0.250 0.750 [4 per cell]

Output
* calculated formation energy: -0.4384 eV per atom
* calculated total energy: -5.909 eV/atom
* polymorph energy (0 for the lowest one): 211 meV/atom

=====

The following is a DFT calculation (PBE-GGA) of CsBe after structural relaxation.

Lattice parameters (Å, degrees): 4.314 7.080 7.169 86.51 72.63 75.13
Space group P1 (No. 1)
Asymmetric unit:
1 Cs 0.000 0.000 0.000 [1 per cell]
2 Cs 0.006 0.501 0.499 [1 per cell]
3 Be 0.249 0.491 0.990 [1 per cell]
4 Be 0.733 0.508 0.008 [1 per cell]

Output
* calculated formation energy: 0.7484 eV per atom
* calculated total energy: -1.541 eV/atom
* polymorph energy (0 for the lowest one): 109 meV/atom

=====

The following is a DFT calculation (PBE-GGA) of Ni2PbW after structural relaxation.

Lattice parameters (Å, degrees): 8.481 3.033 5.058 90.00 101.25 90.00
Space group Cm (No. 8)
Asymmetric unit:
1 Ni 0.000 0.000 0.000 [2 per cell]
2 Ni 0.241 0.500 0.224 [2 per cell]
3 Pb 0.246 0.000 0.744 [2 per cell]
4 W 0.478 0.000 0.392 [2 per cell]

Output
* calculated formation energy: 0.4585 eV per atom
* calculated total energy: -6.598 eV/atom

=====

The following is a DFT calculation (PBE-GGA) of RbBiPCl2 after structural relaxation.

Lattice parameters (Å, degrees): 5.823 5.823 6.206 90.00 90.00 90.00
Space group P4/mmm (No. 123)
Asymmetric unit:
1 Rb 0.000 0.000 0.000 [1 per cell]
2 Bi 0.500 0.500 0.500 [1 per cell]
3 P 0.000 0.000 0.500 [1 per cell]
4 Cl 0.000 0.500 0.000 [2 per cell]

Output
* calculated total energy: -2.369 eV/atom
* polymorph energy (0 for the lowest one): 996 meV/atom